# 1
Material: La6Tb2NdY
Method: DFT, PBE
State: optimized geometry

Results
For the formation energy, the calculation gives 0.10 eV/atom. The calculation puts the size of the total moment at 0.00 μB per cell. The total energy is -4.904 eV/atom.

Geometry as POSCAR:
```
La6Tb2NdY
1.0
4.648 -7.778 0.000
4.648 7.778 0.000
-1.540 0.000 9.825
La Tb Nd Y
12 4 2 2
Direct
0.010 0.563 0.190
0.109 0.757 0.551
0.243 0.891 0.949
0.295 0.504 0.378
0.437 0.990 0.310
0.496 0.705 0.122
0.504 0.295 0.878
0.563 0.010 0.690
0.705 0.496 0.622
0.757 0.109 0.051
0.891 0.243 0.449
0.990 0.437 0.810
0.193 0.290 0.044
0.290 0.193 0.544
0.710 0.807 0.456
0.807 0.710 0.956
0.408 0.592 0.750
0.592 0.408 0.250
0.025 0.975 0.250
0.975 0.025 0.750
```

# 2
Material: LaTbNdZn
Method: DFT, PBE
State: optimized geometry

Results
For the formation energy, the calculation gives 0.03 eV/atom. The calculation puts the size of the total moment at 0.00 μB per cell. The total energy is -3.873 eV/atom. The polymorph energy (0 for the lowest one) comes out at 180 meV per atom.

Geometry as POSCAR:
```
LaTbNdZn
1.0
7.781 0.000 0.000
0.000 7.781 0.000
0.000 0.000 7.781
La Tb Nd Zn
4 4 4 4
Direct
0.000 0.000 0.000
0.000 0.500 0.500
0.500 0.000 0.500
0.500 0.500 0.000
0.250 0.250 0.250
0.250 0.750 0.750
0.750 0.250 0.750
0.750 0.750 0.250
0.000 0.000 0.500
0.000 0.500 0.000
0.500 0.000 0.000
0.500 0.500 0.500
0.250 0.250 0.750
0.250 0.750 0.250
0.750 0.250 0.250
0.750 0.750 0.750
```